# 1
Entry from Alexandria: an optimized crystal structure of LaPuMgHg (PBE-GGA).

a = 5.459 Å, b = 5.459 Å, c = 5.459 Å
α = 60.00°, β = 60.00°, γ = 60.00°
Site moments in Bohr magnetons follow the coordinates.
Fractional coordinates of all 4 atoms:
Mg: 0.000 0.000 0.000  0.00
La: 0.750 0.750 0.750  0.16
Hg: 0.500 0.500 0.500  0.02
Pu: 0.250 0.250 0.250  5.55

Results
Density of states at the Fermi level ... 12.5 states/eV/f.u.
E_tot ... -5.360 eV/atom
SG ... F-43m (216)



# 2
Entry from Alexandria: an optimized crystal structure of LaMg2HgRh (PBE-GGA).

a = 5.096 Å, b = 5.096 Å, c = 5.337 Å
α = 90.00°, β = 90.00°, γ = 90.00°
Fractional coordinates of all 5 atoms:
Mg: 0.000 0.500 0.000
Mg: 0.500 0.000 0.000
Rh: 0.000 0.000 0.000
Hg: 0.500 0.500 0.500
La: 0.000 0.000 0.500

Results
Density of states at the Fermi level ... 2.8 states/eV/f.u.
E_tot ... -3.515 eV/atom
SG ... P4/mmm (123)



Among the records above, which one has the lowest density of states at the Fermi level?
LaMg2HgRh